Crystalline Cr3O5 at its relaxed geometry, computed with PBE with a Hubbard U.

a b c (Å): 4.7854 5.2416 5.4364
angles (deg): 112.36 115.42 91.24
Fractional coordinates of all 8 atoms:
Cr  0.0000  0.0000  0.0000
Cr  0.0356  0.5456  0.3082
Cr  0.4008  0.4568  0.8473
O  0.1095  0.7268  0.7191
O  0.1707  0.3622  0.9979
O  0.2643  0.2634  0.4493
O  0.6872  0.2273  0.0154
O  0.7721  0.7419  0.0853

E ... -7.39 eV per atom
Space group ... P1 (1)
Volume ... 111.1 Å³ per cell